5
Lattice="4.521 0.000 0.000 0.000 4.521 0.000 0.000 0.000 4.521" Properties=species:S:1:pos:R:3 comment="GGA-PBE ScFe3Sb, optimized geometry" volume_a3_per_atom=18.48 relative_energy_mev_per_atom=345.2 raw_formation_energy_ev_per_atom=1.215 final_energy_ev_per_cell=-29.77 pbc="T T T"
Sc 0.000 0.000 0.000
Sb 2.261 2.261 2.261
Fe 0.000 2.261 0.000
Fe 0.000 0.000 2.261
Fe 2.261 0.000 0.000